Material: InTc2Se
Method: DFT, PBE-GGA
State: optimized geometry

```
InTc2Se
1.0
3.131 0.000 0.000
0.000 4.287 0.000
0.000 0.000 10.169
In Tc Se
2 4 2
direct
0.000 0.000 0.000
0.500 0.500 0.500
0.000 0.000 0.449
0.000 0.500 0.198
0.500 0.000 0.698
0.500 0.500 0.949
0.000 0.500 0.757
0.500 0.000 0.257
```


Material: Mg2TeAu
Method: DFT, PBE-GGA
State: optimized geometry

```
Mg2TeAu
1.0
3.267 0.000 0.000
0.000 3.267 0.000
0.000 0.000 8.920
Mg Te Au
2 1 1
direct
0.000 0.000 0.000
0.500 0.500 0.270
0.000 0.000 0.511
0.500 0.500 0.832
```


Let's list theoretical density in order: 9.484 6.508 g/cm³.
Let's list DOS at the Fermi energy in order: 7.3 1.0 states/eV/cell.
Let's list formation energy without anion corrections in order: 0.3286 -0.1493 eV per atom.